1.
# LiLaWSe2 (PBE-GGA, optimized geometry)
# Uncorrected formation energy: 0.27 eV per formula unit
# Spin magnetization: 0.000 μB/f.u.
# DOS(E_F): 0.725 states/eV/atom
# Calculated volume: 27.20 Å³/atom
data_LiLaWSe2
_chemical_formula_sum 'Li1 La1 W1 Se2'
_cell_length_a 5.066
_cell_length_b 5.066
_cell_length_c 5.300
_cell_angle_alpha 90.00
_cell_angle_beta 90.00
_cell_angle_gamma 90.00
_space_group_name_H-M_alt 'P 4/m m m'
_space_group_IT_number 123
_space_group_name_Hall '-P 4 2'
loop_
_atom_site_label
_atom_site_fract_x
_atom_site_fract_y
_atom_site_fract_z
_atom_site_occupancy
Li1 0.000 0.000 0.000 1
La1 0.500 0.500 0.000 1
W1 0.500 0.500 0.500 1
Se1 0.000 0.500 0.500 1

2.
# CaMo2Ru (PBE-GGA, optimized geometry)
# Spin magnetization: 0.003 μB/f.u.
# DOS(E_F): 1.000 states/eV/atom
# Energy relative to the lowest polymorph listed for this composition: 0.157 eV per atom
# E_form: 0.57 eV/atom
# Calculated volume: 17.03 Å³/atom
data_CaMo2Ru
_chemical_formula_sum 'Ca2 Mo4 Ru2'
_cell_length_a 5.410
_cell_length_b 9.530
_cell_length_c 2.762
_cell_angle_alpha 90.00
_cell_angle_beta 106.94
_cell_angle_gamma 90.00
_space_group_name_H-M_alt 'C 1 2/m 1'
_space_group_IT_number 12
loop_
_space_group_symop_operation_xyz
'x,y,z'
'-x,-y,-z'
'-x,y,-z'
'x,-y,z'
'x+1/2,y+1/2,z'
'-x+1/2,-y+1/2,-z'
'-x+1/2,y+1/2,-z'
'x+1/2,-y+1/2,z'
loop_
_atom_site_label
_atom_site_fract_x
_atom_site_fract_y
_atom_site_fract_z
_atom_site_occupancy
Ca1 0.000 0.000 0.000 1
Mo1 0.250 0.250 0.500 1
Ru1 0.000 0.500 0.000 1

3.
# KPt (PBE-GGA, optimized geometry)
# Spin magnetization: 0.000 μB/f.u.
# DOS(E_F): 0.311 states/eV/atom
# E_form: 0.01 eV/atom
# Calculated volume: 24.33 Å³/atom
data_KPt
_chemical_formula_sum 'K6 Pt6'
_cell_length_a 5.588
_cell_length_b 18.014
_cell_length_c 2.901
_cell_angle_alpha 90.00
_cell_angle_beta 90.00
_cell_angle_gamma 90.00
_space_group_name_H-M_alt 'C m m m'
_space_group_IT_number 65
_space_group_name_Hall '-C 2 2'
loop_
_atom_site_label
_atom_site_fract_x
_atom_site_fract_y
_atom_site_fract_z
_atom_site_occupancy
K1 0.000 0.000 0.000 1
K2 0.000 0.193 0.500 1
Pt1 0.000 0.374 0.000 1
Pt2 0.000 0.500 0.500 1

4.
# YHgAs2Br (PBE-GGA, optimized geometry)
# Uncorrected formation energy: -0.38 eV per formula unit
# Spin magnetization: 1.538 μB/f.u.
# DOS(E_F): 0.524 states/eV/atom
# Energy relative to the lowest polymorph listed for this composition: 0.000 eV per atom
# Calculated volume: 35.00 Å³/atom
data_YHgAs2Br
_chemical_formula_sum 'Y1 Hg1 As2 Br1'
_cell_length_a 5.612
_cell_length_b 5.612
_cell_length_c 5.557
_cell_angle_alpha 90.00
_cell_angle_beta 90.00
_cell_angle_gamma 90.00
_space_group_name_H-M_alt 'P 4/m m m'
_space_group_IT_number 123
_space_group_name_Hall '-P 4 2'
loop_
_atom_site_label
_atom_site_fract_x
_atom_site_fract_y
_atom_site_fract_z
_atom_site_occupancy
Y1 0.000 0.000 0.000 1
Hg1 0.500 0.500 0.500 1
As1 0.000 0.500 0.000 1
Br1 0.000 0.000 0.500 1

The lowest DOS(E_F) belongs to which entry? KPt